A relaxed structure of ScNbCu2. Source: Alexandria, functional PBE-GGA.

Formation energy = 20 meV/atom
Calculated density = 6.773 g/cm3
Space group = Fm-3m (225)
Offset from the most stable computed form = 0.85 kcal/mol of atoms

Cell and atoms, written as POSCAR:
```
ScNbCu2
1.0
6.381 0.000 0.000
0.000 6.381 0.000
0.000 0.000 6.381
Sc Nb Cu
4 4 8
Direct
0.000 0.000 0.000 Sc
0.000 0.500 0.500 Sc
0.500 0.000 0.500 Sc
0.500 0.500 0.000 Sc
0.000 0.000 0.500 Nb
0.000 0.500 0.000 Nb
0.500 0.000 0.000 Nb
0.500 0.500 0.500 Nb
0.250 0.250 0.250 Cu
0.250 0.250 0.750 Cu
0.250 0.750 0.250 Cu
0.250 0.750 0.750 Cu
0.750 0.250 0.250 Cu
0.750 0.250 0.750 Cu
0.750 0.750 0.250 Cu
0.750 0.750 0.750 Cu
```


A relaxed structure of Ca3TaNb2N6. Source: Alexandria, functional PBE-GGA.

Uncorrected formation energy = -1.1751 eV per atom
Calculated density = 6.414 g/cm3
Space group = C2/m (12)

Cell and atoms, written as POSCAR:
```
Ca3TaNb2N6
1.0
2.766 -4.785 0.000
2.766 4.785 0.000
-1.847 0.000 5.585
Ca Ta Nb N
3 1 2 6
Direct
0.000 0.000 0.000 Ca
0.332 0.668 0.000 Ca
0.668 0.332 0.000 Ca
0.500 0.500 0.500 Ta
0.166 0.834 0.500 Nb
0.834 0.166 0.500 Nb
0.101 0.428 0.285 N
0.245 0.245 0.716 N
0.428 0.101 0.285 N
0.572 0.899 0.715 N
0.755 0.755 0.284 N
0.899 0.572 0.715 N
```


A relaxed structure of PuVCo2. Source: Alexandria, functional PBE-GGA.

Formation energy = -5 meV/atom
Calculated density = 11.803 g/cm3
Space group = P4/mmm (123)
Offset from the most stable computed form = 0.00 kcal/mol of atoms

Cell and atoms, written as POSCAR:
```
PuVCo2
1.0
2.882 0.000 0.000
0.000 2.882 0.000
0.000 0.000 6.990
Pu V Co
1 1 2
Direct
0.000 0.000 0.000 Pu
0.000 0.000 0.500 V
0.500 0.500 0.310 Co
0.500 0.500 0.690 Co
```


A relaxed structure of TbAlPb2S5. Source: Alexandria, functional PBE-GGA.

Uncorrected formation energy = -1.1106 eV per atom
Calculated density = 5.652 g/cm3
Space group = Cmc2_1 (36)

Cell and atoms, written as POSCAR:
```
TbAlPb2S5
1.0
1.962 -8.875 0.000
1.962 8.875 0.000
0.000 0.000 12.836
Tb Al Pb S
2 2 4 10
Direct
0.199 0.801 0.500 Tb
0.801 0.199 0.000 Tb
0.446 0.554 0.895 Al
0.554 0.446 0.395 Al
0.121 0.879 0.797 Pb
0.131 0.869 0.141 Pb
0.869 0.131 0.641 Pb
0.879 0.121 0.297 Pb
0.037 0.963 0.492 S
0.296 0.704 0.147 S
0.322 0.678 0.851 S
0.351 0.649 0.486 S
0.490 0.510 0.246 S
0.510 0.490 0.746 S
0.649 0.351 0.986 S
0.678 0.322 0.351 S
0.704 0.296 0.647 S
0.963 0.037 0.992 S
```


A relaxed structure of Nd12Ir5Se3. Source: Alexandria, functional PBE-GGA.

Uncorrected formation energy = -0.5111 eV per atom
Calculated density = 7.564 g/cm3
Space group = Ia-3d (230)

Cell and atoms, written as POSCAR:
```
Nd12Ir5Se3
1.0
-8.631 8.631 8.631
8.631 -8.631 8.631
8.631 8.631 -8.631
Nd Ir Se
48 20 12
Direct
0.037 0.210 0.123 Nd
0.037 0.327 0.914 Nd
0.086 0.623 0.412 Nd
0.086 0.963 0.673 Nd
0.088 0.710 0.673 Nd
0.088 0.877 0.414 Nd
0.123 0.037 0.210 Nd
0.123 0.586 0.912 Nd
0.173 0.210 0.588 Nd
0.173 0.463 0.586 Nd
0.210 0.123 0.037 Nd
0.210 0.588 0.173 Nd
0.290 0.327 0.912 Nd
0.290 0.463 0.377 Nd
0.327 0.912 0.290 Nd
0.327 0.914 0.037 Nd
0.377 0.290 0.463 Nd
0.377 0.588 0.914 Nd
0.412 0.086 0.623 Nd
0.412 0.827 0.790 Nd
0.414 0.088 0.877 Nd
0.414 0.827 0.537 Nd
0.463 0.377 0.290 Nd
0.463 0.586 0.173 Nd
0.537 0.414 0.827 Nd
0.537 0.623 0.710 Nd
0.586 0.173 0.463 Nd
0.586 0.912 0.123 Nd
0.588 0.173 0.210 Nd
0.588 0.914 0.377 Nd
0.623 0.412 0.086 Nd
0.623 0.710 0.537 Nd
0.673 0.086 0.963 Nd
0.673 0.088 0.710 Nd
0.710 0.537 0.623 Nd
0.710 0.673 0.088 Nd
0.790 0.412 0.827 Nd
0.790 0.877 0.963 Nd
0.827 0.537 0.414 Nd
0.827 0.790 0.412 Nd
0.877 0.414 0.088 Nd
0.877 0.963 0.790 Nd
0.912 0.123 0.586 Nd
0.912 0.290 0.327 Nd
0.914 0.037 0.327 Nd
0.914 0.377 0.588 Nd
0.963 0.673 0.086 Nd
0.963 0.790 0.877 Nd
0.000 0.000 0.000 Ir
0.000 0.000 0.500 Ir
0.000 0.500 0.000 Ir
0.000 0.500 0.500 Ir
0.125 0.750 0.875 Ir
0.125 0.875 0.250 Ir
0.250 0.125 0.875 Ir
0.250 0.625 0.375 Ir
0.375 0.250 0.625 Ir
0.375 0.625 0.750 Ir
0.500 0.000 0.000 Ir
0.500 0.000 0.500 Ir
0.500 0.500 0.000 Ir
0.500 0.500 0.500 Ir
0.625 0.375 0.250 Ir
0.625 0.750 0.375 Ir
0.750 0.375 0.625 Ir
0.750 0.875 0.125 Ir
0.875 0.125 0.750 Ir
0.875 0.250 0.125 Ir
0.125 0.250 0.375 Se
0.125 0.375 0.750 Se
0.250 0.375 0.125 Se
0.250 0.875 0.625 Se
0.375 0.125 0.250 Se
0.375 0.750 0.125 Se
0.625 0.250 0.875 Se
0.625 0.875 0.750 Se
0.750 0.125 0.375 Se
0.750 0.625 0.875 Se
0.875 0.625 0.250 Se
0.875 0.750 0.625 Se
```


A relaxed structure of Er2MgBi. Source: Alexandria, functional PBE-GGA.

Formation energy = -264 meV/atom
Calculated density = 8.489 g/cm3
Space group = Fm-3m (225)
Offset from the most stable computed form = 2.42 kcal/mol of atoms

Cell and atoms, written as POSCAR:
```
Er2MgBi
1.0
7.630 0.000 0.000
0.000 7.630 0.000
0.000 0.000 7.630
Er Mg Bi
8 4 4
Direct
0.250 0.250 0.250 Er
0.250 0.250 0.750 Er
0.250 0.750 0.250 Er
0.250 0.750 0.750 Er
0.750 0.250 0.250 Er
0.750 0.250 0.750 Er
0.750 0.750 0.250 Er
0.750 0.750 0.750 Er
0.000 0.000 0.000 Mg
0.000 0.500 0.500 Mg
0.500 0.000 0.500 Mg
0.500 0.500 0.000 Mg
0.000 0.000 0.500 Bi
0.000 0.500 0.000 Bi
0.500 0.000 0.000 Bi
0.500 0.500 0.500 Bi
```


A relaxed structure of NdDy. Source: Alexandria, functional PBE-GGA.

Formation energy = 41 meV/atom
Calculated density = 7.575 g/cm3
Space group = Cmcm (63)
Offset from the most stable computed form = 0.35 kcal/mol of atoms

Cell and atoms, written as POSCAR:
```
NdDy
1.0
3.560 0.000 0.000
0.000 13.414 0.000
0.000 0.000 5.632
Nd Dy
4 4
Direct
0.000 0.173 0.250 Nd
0.000 0.827 0.750 Nd
0.500 0.327 0.750 Nd
0.500 0.673 0.250 Nd
0.000 0.436 0.250 Dy
0.000 0.564 0.750 Dy
0.500 0.064 0.750 Dy
0.500 0.936 0.250 Dy
```


A relaxed structure of Cu4NiW. Source: Alexandria, functional PBE-GGA.

Formation energy = 301 meV/atom
Calculated density = 11.096 g/cm3
Space group = F-43m (216)

Cell and atoms, written as POSCAR:
```
Cu4NiW
1.0
0.000 3.337 3.337
3.337 0.000 3.337
3.337 3.337 0.000
Cu Ni W
4 1 1
Direct
0.125 0.125 0.125 Cu
0.125 0.125 0.625 Cu
0.125 0.625 0.125 Cu
0.625 0.125 0.125 Cu
0.750 0.750 0.750 Ni
0.500 0.500 0.500 W
```


A relaxed structure of ZnCu2N. Source: Alexandria, functional PBE-GGA.

Uncorrected formation energy = 0.8416 eV per atom
Calculated density = 7.605 g/cm3
Space group = Fm-3m (225)
Offset from the most stable computed form = 8.23 kcal/mol of atoms

Cell and atoms, written as POSCAR:
```
ZnCu2N
1.0
5.650 0.000 0.000
0.000 5.650 0.000
0.000 0.000 5.650
Zn Cu N
4 8 4
Direct
0.000 0.000 0.000 Zn
0.000 0.500 0.500 Zn
0.500 0.000 0.500 Zn
0.500 0.500 0.000 Zn
0.250 0.250 0.250 Cu
0.250 0.250 0.750 Cu
0.250 0.750 0.250 Cu
0.250 0.750 0.750 Cu
0.750 0.250 0.250 Cu
0.750 0.250 0.750 Cu
0.750 0.750 0.250 Cu
0.750 0.750 0.750 Cu
0.000 0.000 0.500 N
0.000 0.500 0.000 N
0.500 0.000 0.000 N
0.500 0.500 0.500 N
```


A relaxed structure of Cr3PIr. Source: Alexandria, functional PBE-GGA.

Formation energy = 1271 meV/atom
Calculated density = 6.057 g/cm3
Space group = Pm-3m (221)
Offset from the most stable computed form = 15.66 kcal/mol of atoms

Cell and atoms, written as POSCAR:
```
Cr3PIr
1.0
4.702 0.000 0.000
0.000 4.702 0.000
0.000 0.000 4.702
Cr P Ir
3 1 1
Direct
0.000 0.000 0.500 Cr
0.000 0.500 0.000 Cr
0.500 0.000 0.000 Cr
0.500 0.500 0.500 P
0.000 0.000 0.000 Ir
```


A relaxed structure of Rb4Te2F. Source: Alexandria, functional PBE-GGA.

Uncorrected formation energy = -1.3382 eV per atom
Calculated density = 3.548 g/cm3
Space group = I4/mmm (139)

Cell and atoms, written as POSCAR:
```
Rb4Te2F
1.0
5.565 0.000 0.000
0.000 5.565 0.000
0.000 0.000 18.621
Rb Te F
8 4 2
Direct
0.000 0.000 0.166 Rb
0.000 0.000 0.834 Rb
0.000 0.500 0.000 Rb
0.000 0.500 0.500 Rb
0.500 0.000 0.000 Rb
0.500 0.000 0.500 Rb
0.500 0.500 0.334 Rb
0.500 0.500 0.666 Rb
0.000 0.000 0.365 Te
0.000 0.000 0.635 Te
0.500 0.500 0.135 Te
0.500 0.500 0.865 Te
0.000 0.000 0.000 F
0.500 0.500 0.500 F
```


A relaxed structure of InSF. Source: Alexandria, functional PBE-GGA.

Uncorrected formation energy = -0.9900 eV per atom
Calculated density = 5.223 g/cm3
Space group = I4mm (107)

Cell and atoms, written as POSCAR:
```
InSF
1.0
3.868 0.000 0.000
0.000 3.868 0.000
0.000 0.000 7.050
In S F
2 2 2
Direct
0.000 0.000 0.000 In
0.500 0.500 0.500 In
0.000 0.000 0.363 S
0.500 0.500 0.863 S
0.000 0.000 0.707 F
0.500 0.500 0.207 F
```